Density functional theory data (PBE-GGA) for a relaxed structure of AsPtRh2.

abc: 2.9524 4.7338 5.4018
angles: 53.18 90.00 90.00
With the nearest neighbours (Å) after each atom.
Element x y z (fractional)
As 0.5000 0.5000 0.5000  6 Rh 2.70-2.72, 4 Pt 2.79, 2 As 2.95
Rh 0.0000 0.0000 0.0000  2 Pt 2.70, 4 As 2.72, 6 Rh 2.79-2.95
Rh 0.5000 0.5000 0.0000  2 As 2.70, 4 Pt 2.72, 6 Rh 2.79-2.95
Pt 0.0000 0.0000 0.5000  6 Rh 2.70-2.72, 4 As 2.79, 2 Pt 2.95

DFT formation energy = -0.32 eV/f.u.
Final energy = -25.71 eV/cell
Magnetic moment = 0.0 μB/f.u.